(1)
## MgZnTe2 (PBE-GGA)

Data for a relaxed structure of MgZnTe2.

Unit cell a=7.341 b=4.084 c=7.437 alpha=90.00 beta=111.35 gamma=90.00
Space group P2_1/m (No. 11)
Inequivalent atoms, fractional coordinates:
Mg  0.000  0.250  0.243 (multiplicity 2)
Zn  0.475  0.750  0.270 (multiplicity 2)
Te  0.256  0.750  0.526 (multiplicity 2)
Te  0.258  0.250  0.029 (multiplicity 2)

Results
For the density of states at the Fermi level, the calculation gives 0.567 states/eV/f.u. The uncorrected formation energy comes out at -44 kJ per mole of atoms. For the size of the total moment, the calculation gives 0.0 μB/cell. The crystal system is monoclinic.


(2)
## EuVH (PBE-GGA)

Data for a relaxed structure of EuVH.

Unit cell a=4.051 b=4.051 c=5.361 alpha=90.00 beta=90.00 gamma=90.00
Space group P4/nmm (No. 129, origin choice 2)
Inequivalent atoms, fractional coordinates:
Eu  0.250  0.250  0.046 (multiplicity 2)
V  0.250  0.750  0.500 (multiplicity 2)
H  0.250  0.250  0.499 (multiplicity 2)

Results
For the density of states at the Fermi level, the calculation gives 2.193 states/eV/f.u. As for the total DFT energy (no corrections): -21.8 eV/f.u. For the size of the total moment, the calculation gives 13.5 μB/cell. The crystal system is tetragonal.


(3)
## TbTl2Hg (PBE-GGA)

Data for a relaxed structure of TbTl2Hg.

Unit cell a=7.559 b=7.559 c=7.559 alpha=90.00 beta=90.00 gamma=90.00
Space group Fm-3m (No. 225)
Inequivalent atoms, fractional coordinates:
Tb  0.000  0.000  0.000 (multiplicity 4)
Tl  0.250  0.250  0.250 (multiplicity 8)
Hg  0.000  0.000  0.500 (multiplicity 4)

Results
For the density of states at the Fermi level, the calculation gives 3.874 states/eV/f.u. For the size of the total moment, the calculation gives 0.0 μB/cell. The crystal system is cubic. The value obtained for the excess energy over the best structure of this formula in the dataset is 64 kJ/mol of formula units. For the formation energy, the calculation gives -0.1000 eV per atom.


(4)
## PRhN2F (PBE-GGA)

Data for a relaxed structure of PRhN2F.

Unit cell a=3.915 b=3.915 c=3.996 alpha=90.00 beta=90.00 gamma=90.00
Space group P4/mmm (No. 123)
Inequivalent atoms, fractional coordinates:
P  0.000  0.000  0.000 (multiplicity 1)
Rh  0.500  0.500  0.500 (multiplicity 1)
N  0.000  0.500  0.500 (multiplicity 2)
F  0.500  0.500  0.000 (multiplicity 1)

Results
For the density of states at the Fermi level, the calculation gives 3.565 states/eV/f.u. The uncorrected formation energy comes out at 104 kJ per mole of atoms. For the size of the total moment, the calculation gives 0.0 μB/cell. The crystal system is tetragonal. The value obtained for the excess energy over the best structure of this formula in the dataset is 186 kJ/mol of formula units.


(5)
## Fe2CoRu (PBE-GGA)

Data for a relaxed structure of Fe2CoRu.

Unit cell a=2.6136 b=2.6136 c=24.7170 alpha=90.00 beta=90.00 gamma=120.00
Space group R3m (No. 160, hexagonal axes)
Inequivalent atoms, fractional coordinates:
Fe  0.0000  0.0000  0.0000 (multiplicity 3)
Fe  0.0000  0.0000  0.2508 (multiplicity 3)
Co  0.0000  0.0000  0.5058 (multiplicity 3)
Ru  0.0000  0.0000  0.7513 (multiplicity 3)

Results
For the density of states at the Fermi level, the calculation gives 5.099 states/eV/f.u. For the size of the total moment, the calculation gives 18.1 μB/cell. The crystal system is trigonal. For the formation energy, the calculation gives 0.1593 eV per atom.


(6)
## Ce3Pr4TaN8 (PBE-GGA)

Data for a relaxed structure of Ce3Pr4TaN8.

Unit cell a=7.0717 b=7.0717 c=17.5408 alpha=90.00 beta=90.00 gamma=120.00
Space group R-3m (No. 166, hexagonal axes)
Inequivalent atoms, fractional coordinates:
Ce  0.0000  0.5000  0.0000 (multiplicity 9)
Pr  0.0000  0.0000  0.5000 (multiplicity 3)
Pr  0.0000  0.5000  0.5000 (multiplicity 9)
Ta  0.0000  0.0000  0.0000 (multiplicity 3)
N  0.0000  0.0000  0.2572 (multiplicity 6)
N  0.0291  0.5146  0.7371 (multiplicity 18)

Results
For the density of states at the Fermi level, the calculation gives 8.705 states/eV/f.u. The uncorrected formation energy comes out at -131 kJ per mole of atoms. For the size of the total moment, the calculation gives 0.0 μB/cell. The crystal system is trigonal.